# 1
# Er3InHg2

Er3InHg2 after structural relaxation (PBE, Alexandria).

The value obtained for the size of the total moment is 0.00 μB per formula unit. For the total energy, the calculation gives -3.303 eV/atom. For the calculated formation energy, the calculation gives -0.47 eV per atom. The calculated volume comes out at 152.72 Å³/f.u.

The space group is P4/mmm (No. 123) and the conventional cell measures 3.716, 3.716 and 11.060 Å, with angles of 90.00, 90.00 and 90.00 degrees. The asymmetric unit holds Er at (0.000, 0.000, 0.000), Er at (0.000, 0.000, 0.327), In at (0.500, 0.500, 0.500) and Hg at (0.500, 0.500, 0.164).



# 2
# Fe5Pd2Rh2

Fe5Pd2Rh2 after structural relaxation (PBE, Alexandria).

The value obtained for the size of the total moment is 2.53 μB per formula unit. For the total energy, the calculation gives -7.463 eV/atom. For the calculated formation energy, the calculation gives 0.03 eV per atom. The calculated volume comes out at 120.33 Å³/f.u.

The space group is P-1 (No. 2) and the conventional cell measures 2.650, 3.990 and 11.629 Å, with angles of 99.85, 96.51 and 90.03 degrees. The asymmetric unit holds Fe at (0.000, 0.000, 0.000), Fe at (0.012, 0.779, 0.559), Fe at (0.370, 0.552, 0.104), Pd at (0.146, 0.892, 0.785) and Rh at (0.430, 0.675, 0.351).



# 3
# AgSnP2H

AgSnP2H after structural relaxation (PBE, Alexandria).

The value obtained for the size of the total moment is 0.00 μB per formula unit. For the total energy, the calculation gives -3.699 eV/atom. The calculated volume comes out at 86.00 Å³/f.u.

The space group is P4/mmm (No. 123) and the conventional cell measures 5.002, 5.002 and 3.437 Å, with angles of 90.00, 90.00 and 90.00 degrees. The asymmetric unit holds Ag at (0.000, 0.000, 0.000), Sn at (0.500, 0.500, 0.500), P at (0.000, 0.500, 0.000) and H at (0.000, 0.000, 0.500).



# 4
# CaCd2W

CaCd2W after structural relaxation (PBE, Alexandria).

The value obtained for the size of the total moment is 2.19 μB per formula unit. For the total energy, the calculation gives -3.594 eV/atom. For the calculated formation energy, the calculation gives 0.60 eV per atom. The calculated volume comes out at 88.29 Å³/f.u. Its energy above the lowest structure with this stoichiometry is 0.761 eV per formula unit.

The space group is Fm-3m (No. 225) and the conventional cell measures 7.068, 7.068 and 7.068 Å, with angles of 90.00, 90.00 and 90.00 degrees. The asymmetric unit holds Ca at (0.000, 0.000, 0.000), Cd at (0.250, 0.250, 0.250) and W at (0.000, 0.000, 0.500).